Record 1
The following is a PBE calculation of BaZnHg3 after structural relaxation, from Alexandria.

Cell and atoms, written as POSCAR:
```
BaZnHg3
1.0
-6.577 2.939 -2.083
-3.900 -4.438 6.053
2.415 8.205 3.950
Hg Zn Ba
12 4 4
Cartesian
-5.297 1.083 5.179
-0.591 8.128 3.231
-0.165 3.296 1.774
-1.008 3.808 8.130
-7.897 3.410 6.146
-3.568 7.900 4.712
-7.471 -1.422 4.689
-2.045 2.354 5.575
-4.493 -1.194 3.207
-6.017 4.352 2.345
-2.765 5.623 2.740
-7.054 2.897 -0.210
-4.941 -2.566 5.645
-3.120 9.272 2.275
-4.127 5.079 0.364
-3.934 1.626 7.556
-4.667 4.671 5.698
0.064 5.131 4.909
-8.125 1.574 3.011
-3.394 2.035 2.221
```

Results
The calculation puts the magnetic moment at 0.00 μB/cell. The total energy comes out at -1.1070 eV per atom.

***

Record 2
The following is a PBE calculation of K2Sc2PaS6 after structural relaxation, from Alexandria.

Cell and atoms, written as POSCAR:
```
K2Sc2PaS6
1.0
-1.172 0.814 -6.533
5.951 -2.207 2.105
-4.090 -6.633 1.052
S Pa K Sc
6 1 2 2
Cartesian
0.060 -2.433 -0.901
0.629 -5.593 -2.474
-0.494 -5.425 1.169
3.616 -3.633 -1.593
-2.927 -4.393 -1.782
1.183 -2.601 -4.544
-2.045 -3.316 0.526
0.014 0.311 -5.094
4.764 -1.704 0.667
-0.844 -3.509 -3.128
1.532 -4.517 -0.247
```

Results
The calculation puts the magnetic moment at 1.10 μB/cell. The total energy comes out at -6.2026 eV per atom.

***

Record 3
The following is a PBE calculation of Hf2ZrSn after structural relaxation, from Alexandria.

Cell and atoms, written as POSCAR:
```
Hf2ZrSn
1.0
3.250 0.000 0.000
1.625 2.814 0.000
1.625 0.938 10.017
Sn Zr Hf
1 1 2
Cartesian
3.250 1.876 0.001
3.250 1.876 5.012
1.625 0.938 7.510
1.625 0.938 2.503
```

Results
The calculation puts the magnetic moment at 0.00 μB/cell. The total energy comes out at -8.2015 eV per atom.

***

Record 4
The following is a PBE calculation of YCd after structural relaxation, from Alexandria.

Cell and atoms, written as POSCAR:
```
YCd
1.0
10.633 0.000 0.000
0.000 4.800 0.000
0.000 0.000 6.406
Y Cd
6 6
Cartesian
8.739 0.000 4.374
1.894 0.000 4.374
3.422 2.400 1.171
5.316 0.000 5.782
7.210 2.400 1.171
0.000 2.400 2.579
5.316 0.000 2.588
6.791 2.400 4.260
9.158 0.000 1.057
0.000 2.400 5.790
1.474 0.000 1.057
3.842 2.400 4.260
```

Results
The calculation puts the magnetic moment at 0.00 μB/cell. The total energy comes out at -3.9071 eV per atom.

***

Record 5
The following is a PBE calculation of Ho3Th5Pb12 after structural relaxation, from Alexandria.

Cell and atoms, written as POSCAR:
```
Ho3Th5Pb12
1.0
15.874 0.000 0.000
-5.291 14.966 0.000
-5.291 -7.483 12.961
Th Pb Ho
20 48 12
Cartesian
1.323 4.677 11.341
9.260 -0.935 8.101
6.614 3.741 9.721
-1.323 3.741 3.240
-5.291 3.741 6.480
-1.323 12.160 1.620
1.323 -3.741 9.721
2.646 3.741 6.480
6.614 6.548 4.860
3.968 11.224 3.240
-3.968 8.418 4.860
3.968 2.806 1.620
6.614 -4.677 11.341
7.937 0.000 0.000
5.291 7.483 0.000
-1.323 0.935 8.101
-2.646 7.483 0.000
0.000 0.000 0.000
-2.646 -3.741 6.480
5.291 -3.741 6.480
-2.655 3.767 8.346
-0.855 8.361 5.253
-3.278 8.166 9.868
6.146 -0.878 7.708
2.655 -2.113 7.391
10.814 7.300 2.138
8.569 -0.683 3.093
-1.791 4.988 11.095
-0.231 5.540 0.911
2.414 1.760 11.733
10.574 1.603 0.955
-2.655 -5.880 12.006
10.591 -3.767 8.346
3.500 6.605 5.253
-2.013 -0.721 5.525
7.082 2.494 1.866
7.706 7.666 2.138
11.437 3.373 3.387
0.632 8.887 8.618
7.082 11.593 3.387
4.659 -1.404 4.342
-2.414 -0.183 10.823
2.013 6.079 8.618
5.522 -1.760 11.733
-5.282 5.880 12.006
2.877 5.723 1.227
0.009 5.370 5.570
-5.522 0.183 10.823
7.946 3.716 4.615
3.278 1.404 4.342
2.877 9.426 0.911
5.282 2.113 7.391
2.414 -1.943 12.050
-0.632 0.683 3.093
2.637 9.596 5.570
-1.791 -4.110 9.574
-4.659 6.762 7.436
1.791 0.878 7.708
7.946 13.363 0.955
-6.146 4.110 9.574
5.522 1.943 12.050
-5.300 11.250 4.615
9.728 -4.988 11.095
7.304 8.204 7.436
-4.437 12.471 1.866
9.950 0.721 5.525
-0.231 9.243 1.227
5.924 6.800 9.868
11.905 0.000 3.240
-1.323 6.548 8.101
-3.968 -2.806 11.341
9.260 10.289 1.620
9.260 4.677 1.620
-6.614 7.483 9.721
6.614 0.935 4.860
3.968 0.000 9.721
1.323 7.483 3.240
-3.968 2.806 11.341
3.968 8.418 8.101
1.323 -0.935 4.860
```

Results
The calculation puts the magnetic moment at 0.00 μB/cell. The total energy comes out at -4.4781 eV per atom.

***

Record 6
The following is a PBE calculation of Be2AuBr after structural relaxation, from Alexandria.

Cell and atoms, written as POSCAR:
```
Be2AuBr
1.0
3.331 -0.021 0.000
-1.886 2.746 0.000
0.000 0.000 8.295
Au Be Br
1 2 1
Cartesian
0.723 1.362 6.812
0.723 1.362 1.961
0.000 0.000 0.179
0.000 0.000 3.490
```

Results
The calculation puts the magnetic moment at 0.00 μB/cell. The total energy comes out at -2.7733 eV per atom.

***

Record 7
The following is a PBE calculation of SiNi4As after structural relaxation, from Alexandria.

Cell and atoms, written as POSCAR:
```
SiNi4As
1.0
-1.390 3.315 3.079
0.780 4.574 -0.934
-3.625 2.850 -1.067
Ni Si As
4 1 1
Cartesian
-2.646 6.709 0.674
-0.837 5.287 1.206
-1.952 5.055 -0.862
-3.035 4.426 1.140
-1.059 2.685 0.270
0.000 0.000 0.000
```

Results
The calculation puts the magnetic moment at 0.82 μB/cell. The total energy comes out at -5.4021 eV per atom.

***

Record 8
The following is a PBE calculation of Hg3Ir after structural relaxation, from Alexandria.

Cell and atoms, written as POSCAR:
```
Hg3Ir
1.0
-2.683 -1.022 1.398
1.968 -3.557 1.177
1.648 2.582 5.051
Hg Ir
3 1
Cartesian
0.025 0.039 0.076
0.799 1.252 2.450
0.878 -0.353 5.075
0.054 -1.644 2.550
```

Results
The calculation puts the magnetic moment at 0.00 μB/cell. The total energy comes out at -1.9575 eV per atom.

***

Record 9
The following is a PBE calculation of YLuCoAg after structural relaxation, from Alexandria.

Cell and atoms, written as POSCAR:
```
YLuCoAg
1.0
4.897 0.000 0.000
2.448 4.241 0.000
2.448 1.414 3.998
Ag Co Y Lu
1 1 1 1
Cartesian
0.000 0.000 0.000
4.897 2.827 1.999
7.345 4.241 2.999
2.448 1.414 1.000
```

Results
The calculation puts the magnetic moment at 0.36 μB/cell. The total energy comes out at -5.4374 eV per atom.

***

Record 10
The following is a PBE calculation of Cs3Li2CeBr8 after structural relaxation, from Alexandria.

Cell and atoms, written as POSCAR:
```
Cs3Li2CeBr8
1.0
-5.989 2.372 4.744
6.605 -3.194 3.189
4.215 9.358 0.642
Br Li Ce Cs
8 2 1 3
Cartesian
-1.697 0.725 4.240
2.220 6.108 6.494
5.886 0.844 3.664
1.915 6.516 2.560
6.528 7.810 4.336
-1.054 7.692 4.912
2.611 2.427 2.082
2.917 2.020 6.016
3.283 0.606 3.841
1.548 7.929 4.735
2.108 4.679 0.321
-0.306 3.813 4.452
0.000 0.000 0.000
5.138 4.723 4.124
```

Results
The calculation puts the magnetic moment at 1.00 μB/cell. The total energy comes out at -3.5435 eV per atom.

***

Record 11
The following is a PBE calculation of DyY3Au4 after structural relaxation, from Alexandria.

Cell and atoms, written as POSCAR:
```
DyY3Au4
1.0
3.603 0.000 0.000
0.000 3.603 0.000
0.000 0.000 14.435
Y Au Dy
3 4 1
Cartesian
1.802 1.802 3.604
1.802 1.802 10.831
1.802 1.802 7.217
0.000 0.000 1.783
0.000 0.000 5.417
0.000 0.000 12.652
0.000 0.000 9.017
1.802 1.802 0.000
```

Results
The calculation puts the magnetic moment at 0.00 μB/cell. The total energy comes out at -5.4963 eV per atom.

***

Record 12
The following is a PBE calculation of SrGeAs after structural relaxation, from Alexandria.

Cell and atoms, written as POSCAR:
```
SrGeAs
1.0
-1.762 -3.299 -1.059
4.443 -1.742 -1.966
2.772 -1.679 7.752
Ge Sr As
2 2 2
Cartesian
0.354 -2.304 -0.547
5.099 -4.416 5.274
3.075 -4.055 0.380
2.377 -2.665 4.347
1.639 -1.366 1.527
3.813 -5.354 3.200
```

Results
The calculation puts the magnetic moment at 0.00 μB/cell. The total energy comes out at -4.2392 eV per atom.

***

Record 13
The following is a PBE calculation of ScReAu2 after structural relaxation, from Alexandria.

Cell and atoms, written as POSCAR:
```
ScReAu2
1.0
-1.981 -1.502 -4.347
-4.004 -1.984 -2.261
-2.442 4.192 -1.399
Au Sc Re
2 1 1
Cartesian
-6.305 0.439 -6.012
-5.990 -3.455 -6.606
-2.069 0.180 -1.965
-4.260 0.411 -4.035
```

Results
The calculation puts the magnetic moment at 0.00 μB/cell. The total energy comes out at -6.3482 eV per atom.

***

Record 14
The following is a PBE calculation of AlPtW2 after structural relaxation, from Alexandria.

Cell and atoms, written as POSCAR:
```
AlPtW2
1.0
-4.296 -2.026 0.631
0.729 -0.072 4.735
-1.140 2.485 0.213
Al W Pt
1 2 1
Cartesian
-2.718 0.229 0.422
-1.783 -1.049 2.683
0.000 0.000 0.000
-0.206 1.207 2.474
```

Results
The calculation puts the magnetic moment at 0.00 μB/cell. The total energy comes out at -8.7961 eV per atom.

***

Record 15
The following is a PBE calculation of Pm2SmSe after structural relaxation, from Alexandria.

Cell and atoms, written as POSCAR:
```
Pm2SmSe
1.0
3.911 0.000 0.000
1.955 3.387 0.000
1.955 1.129 9.624
Sm Pm Se
1 2 1
Cartesian
3.911 2.258 4.822
1.955 1.129 1.880
1.955 1.129 7.740
5.866 3.387 9.618
```

Results
The calculation puts the magnetic moment at 0.62 μB/cell. The total energy comes out at -5.2344 eV per atom.

***

Record 16
The following is a PBE calculation of MgAlMoW after structural relaxation, from Alexandria.

Cell and atoms, written as POSCAR:
```
MgAlMoW
1.0
4.491 0.000 0.000
2.245 3.889 0.000
2.245 1.296 3.667
Mg Mo W Al
1 1 1 1
Cartesian
0.000 0.000 0.000
2.245 1.296 0.917
4.491 2.593 1.833
6.736 3.889 2.750
```

Results
The calculation puts the magnetic moment at 0.00 μB/cell. The total energy comes out at -7.1821 eV per atom.

***

Record 17
The following is a PBE calculation of Na5Tl12Pb2 after structural relaxation, from Alexandria.

Cell and atoms, written as POSCAR:
```
Na5Tl12Pb2
1.0
6.641 0.000 0.000
-3.320 8.846 0.023
0.000 -3.095 10.535
Tl Na Pb
12 5 2
Cartesian
1.615 4.759 4.190
3.320 -0.968 3.766
0.000 6.719 6.792
-1.724 2.533 9.318
1.705 0.991 6.367
1.596 3.218 1.239
1.724 2.533 9.318
-1.615 4.759 4.190
3.320 6.594 1.867
5.045 3.218 1.239
0.000 -0.844 8.690
4.936 0.991 6.367
0.000 3.683 6.877
3.320 2.067 3.681
0.000 -1.548 5.267
0.000 6.105 1.382
3.320 -0.355 9.176
1.669 0.000 0.000
4.972 0.000 0.000
```

Results
The calculation puts the magnetic moment at 0.00 μB/cell. The total energy comes out at -2.1981 eV per atom.

***

Record 18
The following is a PBE calculation of CrMo2S4 after structural relaxation, from Alexandria.

Cell and atoms, written as POSCAR:
```
CrMo2S4
1.0
-1.216 -2.826 -6.116
4.851 -0.626 -4.791
4.516 -12.128 -0.539
Mo S Cr
8 16 4
Cartesian
1.273 -2.458 -6.631
4.630 -1.261 -6.001
6.116 -6.495 -4.116
3.522 -14.320 -5.445
5.341 -7.866 -6.505
2.035 -9.085 -7.331
6.878 -13.122 -4.815
2.810 -7.715 -4.941
3.153 -3.036 -5.180
1.234 -6.963 -6.546
6.917 -8.617 -4.900
8.108 -11.354 -5.807
3.783 -7.653 -8.569
0.644 -2.396 -2.928
6.248 -9.682 -8.188
4.368 -7.928 -2.877
3.850 -9.666 -5.790
7.507 -13.185 -8.518
4.998 -12.545 -6.267
2.382 -4.201 -8.270
0.044 -4.227 -5.639
5.769 -11.380 -3.176
4.302 -5.915 -5.656
1.903 -5.899 -3.258
5.339 -11.946 -8.647
2.813 -3.635 -2.799
3.573 -10.242 -3.396
4.578 -5.339 -8.051
```

Results
The calculation puts the magnetic moment at 16.07 μB/cell. The total energy comes out at -7.5123 eV per atom.

***

Record 19
The following is a PBE calculation of MnBr after structural relaxation, from Alexandria.

Cell and atoms, written as POSCAR:
```
MnBr
1.0
3.379 0.000 0.000
0.000 3.379 0.000
0.000 0.000 3.379
Br Mn
1 1
Cartesian
0.000 0.000 0.000
1.690 1.690 1.690
```

Results
The calculation puts the magnetic moment at 4.08 μB/cell. The total energy comes out at -5.1236 eV per atom.

***

Record 20
The following is a PBE calculation of SiHgCl2 after structural relaxation, from Alexandria.

Cell and atoms, written as POSCAR:
```
SiHgCl2
1.0
3.807 0.009 -0.012
1.895 3.301 -0.012
2.019 1.172 10.103
Si Hg Cl
1 1 2
Cartesian
1.930 1.121 2.519
5.791 3.362 7.558
5.727 3.325 1.044
3.836 2.227 3.970
```

Results
The calculation puts the magnetic moment at 0.00 μB/cell. The total energy comes out at -2.6778 eV per atom.